Record 1
A relaxed structure of NiSnMoI2, computed with PBE.

Cell lengths 6.153, 6.153, 4.805 Å; angles 90.00, 90.00, 90.00 degrees
Element x y z (fractional)
Ni (0.000, 0.000, 0.000)
Sn (0.000, 0.000, 0.500)
Mo (0.500, 0.500, 0.000)
I (0.000, 0.500, 0.500)
I (0.500, 0.000, 0.500)

Raw formation energy in meV per atom: 1219.2
SG: P4/mmm, No. 123


Record 2
A relaxed structure of AgHg2GeIr, computed with PBE.

Cell lengths 5.165, 5.165, 5.148 Å; angles 90.00, 90.00, 90.00 degrees
Element x y z (fractional)
Ag (0.000, 0.000, 0.000)
Hg (0.000, 0.500, 0.500)
Hg (0.500, 0.000, 0.500)
Ge (0.500, 0.500, 0.000)
Ir (0.000, 0.000, 0.500)

ΔE_f in eV per atom: 0.87
SG: P4/mmm, No. 123


Record 3
A relaxed structure of Nd8Sn5Te, computed with PBE.

Cell lengths 8.295, 8.295, 8.295 Å; angles 109.46, 109.46, 109.49 degrees
Element x y z (fractional)
Nd (0.014, 0.623, 0.752)
Nd (0.232, 0.482, 0.106)
Nd (0.376, 0.126, 0.894)
Nd (0.377, 0.129, 0.391)
Nd (0.518, 0.624, 0.750)
Nd (0.738, 0.986, 0.609)
Nd (0.871, 0.262, 0.248)
Nd (0.874, 0.768, 0.250)
Sn (0.000, 0.000, 0.000)
Sn (0.127, 0.250, 0.625)
Sn (0.498, 0.873, 0.123)
Sn (0.626, 0.502, 0.375)
Sn (0.750, 0.374, 0.877)
Te (0.250, 0.750, 0.500)

Raw formation energy in meV per atom: -830.7
SG: I-4, No. 82


Record 4
A relaxed structure of LaTe, computed with PBE.

Cell lengths 10.626, 10.626, 10.626 Å; angles 25.50, 25.50, 25.50 degrees
Element x y z (fractional)
La (0.111, 0.111, 0.111)
La (0.889, 0.889, 0.889)
Te (0.395, 0.395, 0.395)
Te (0.605, 0.605, 0.605)

Raw formation energy in meV per atom: -852.2
SG: R-3m, No. 166